Entry 1:
## Tb2ThZr (PBE)

Data for crystalline Tb2ThZr at its relaxed geometry.

Values from the calculation:
The energy above the most stable polymorph in this dataset is 16 meV/atom. For the formation energy, the calculation gives 0.37 eV/f.u. The value obtained for the density of states at the Fermi level is 4.56 states/eV/cell.

Cell lengths 4.821, 4.821, 5.039 Å; angles 90.00, 90.00, 90.00 degrees
Fractional positions:
Tb1 0.000 0.500 0.000
Tb2 0.500 0.000 0.000
Th1 0.000 0.000 0.500
Zr1 0.500 0.500 0.500

Entry 2:
## CeCuSnH (PBE)

Data for crystalline CeCuSnH at its relaxed geometry.

Values from the calculation:
The final energy comes out at -19.3 eV/cell. The value obtained for the density of states at the Fermi level is 3.22 states/eV/cell.

Cell lengths 4.402, 4.402, 4.222 Å; angles 90.00, 90.00, 120.00 degrees
Fractional positions:
Ce1 0.000 0.000 0.000
Cu1 0.667 0.333 0.572
Sn1 0.333 0.667 0.472
H1 0.667 0.333 0.969